## Sm4AlZn2Au (PBE-GGA)

Data for crystalline Sm4AlZn2Au at its relaxed geometry.

Unit cell a=5.1697 b=5.1697 c=25.4822 alpha=90.00 beta=90.00 gamma=120.00
Last column: nearest neighbours and their distance in Å.
Space group R-3m (No. 166, hexagonal axes)
Asymmetric unit:
1 Sm 0.0000 0.0000 0.1240 [6 per cell]  4 Zn 3.09-3.12, 1 Au 3.16, 3 Al 3.18
2 Sm 0.0000 0.0000 0.3746 [6 per cell]  3 Au 3.16, 1 Al 3.20, 4 Zn 3.21-3.29
3 Al 0.0000 0.0000 0.5000 [3 per cell]  8 Sm 3.18-3.20
4 Zn 0.0000 0.0000 0.2455 [6 per cell]  8 Sm 3.09-3.29
5 Au 0.0000 0.0000 0.0000 [3 per cell]  8 Sm 3.16

Results
- DFT total energy: -0.1472 Ha/atom
- DFT formation energy: -448.9 meV/atom
- Crystal system: trigonal
- D(E_F): 19.85 states/eV per cell

---

## SmAlZn8Au2 (PBE-GGA)

Data for crystalline SmAlZn8Au2 at its relaxed geometry.

Unit cell a=8.0092 b=5.1406 c=10.3755 alpha=90.00 beta=96.11 gamma=90.00
Last column: nearest neighbours and their distance in Å.
Space group C2/m (No. 12)
Asymmetric unit:
1 Sm 0.0000 0.0000 0.0000 [2 per cell]  6 Zn 2.94-3.08, 2 Au 3.01
2 Al 0.0000 0.0000 0.5000 [2 per cell]  10 Zn 2.58-2.89
3 Zn 0.0921 0.2463 0.3030 [8 per cell]  5 Zn 2.53-2.80, 1 Al 2.58, 1 Au 2.73
4 Zn 0.1604 0.5000 0.5413 [4 per cell]  5 Zn 2.62-2.80, 3 Al 2.80-2.89
5 Zn 0.1750 0.5000 0.1082 [4 per cell]  2 Zn 2.55, 2 Au 2.78-2.83
6 Au 0.1644 0.5000 0.8399 [4 per cell]  8 Zn 2.73-2.90, 1 Sm 3.01

Results
- DFT total energy: -0.0835 Ha/atom
- DFT formation energy: -172.3 meV/atom
- Crystal system: monoclinic
- D(E_F): 3.31 states/eV per cell

---

## Sm2AlZn3Au4 (PBE-GGA)

Data for crystalline Sm2AlZn3Au4 at its relaxed geometry.

Unit cell a=4.2132 b=4.2132 c=11.4343 alpha=90.00 beta=90.00 gamma=90.00
Last column: nearest neighbours and their distance in Å.
Space group P-4m2 (No. 115)
Asymmetric unit:
1 Sm 0.0000 0.5000 0.2471 [2 per cell]  6 Zn 3.23-3.58, 8 Au 3.25-3.52, 2 Al 3.58
2 Al 0.0000 0.0000 0.5000 [1 per cell]  4 Au 2.64
3 Zn 0.0000 0.5000 0.8620 [2 per cell]  5 Au 2.54-2.63
4 Zn 0.5000 0.5000 0.5000 [1 per cell]  4 Au 2.64
5 Au 0.0000 0.0000 0.0000 [1 per cell]  4 Zn 2.63
6 Au 0.0000 0.5000 0.6396 [2 per cell]  3 Zn 2.54-2.64, 2 Al 2.64
7 Au 0.5000 0.5000 0.0000 [1 per cell]  4 Zn 2.63

Results
- DFT total energy: -0.1311 Ha/atom
- DFT formation energy: -557.0 meV/atom
- Crystal system: tetragonal
- D(E_F): 3.28 states/eV per cell